Record 1
VASP calculation (PBE) on a relaxed structure of Zr2SiCF.

The energy relative to the elements, uncorrected is -0.423 eV per atom. Its density of states at the Fermi level is 4.468 states/eV/cell. The magnetic moment is 0.0 μB per formula unit.

The structure belongs to space group P4/mmm (No. 123); the cell edges are 4.6099, 4.6099 and 3.6670 Å and the angles 90.00°, 90.00° and 90.00°. The distinct sites, in fractional coordinates, are Zr at (0.0000, 0.5000, 0.0000), Si at (0.0000, 0.0000, 0.5000), C at (0.0000, 0.0000, 0.0000) and F at (0.5000, 0.5000, 0.5000).

---

Record 2
VASP calculation (PBE) on a relaxed structure of Sm2CF.

The energy relative to the elements, uncorrected is -1.437 eV per atom. Its density of states at the Fermi level is 5.344 states/eV/cell. The energy above the most stable polymorph in this dataset comes out at 63 meV per atom. The magnetic moment is 0.0 μB per formula unit.

The structure belongs to space group R3m (No. 160, hexagonal axes); the cell edges are 3.5974, 3.5974 and 19.4242 Å and the angles 90.00°, 90.00° and 120.00°. The distinct sites, in fractional coordinates, are Sm at (0.0000, 0.0000, 0.0000), Sm at (0.0000, 0.0000, 0.1919), C at (0.0000, 0.0000, 0.5965) and F at (0.0000, 0.0000, 0.4252).

---

Record 3
VASP calculation (PBE) on a relaxed structure of Sm2CF.

The energy relative to the elements, uncorrected is -1.500 eV per atom. Its density of states at the Fermi level is 3.340 states/eV/cell. The energy above the most stable polymorph in this dataset comes out at 0 meV per atom. The magnetic moment is 0.0 μB per formula unit.

The structure belongs to space group R-3m (No. 166, hexagonal axes); the cell edges are 3.6552, 3.6552 and 18.4265 Å and the angles 90.00°, 90.00° and 120.00°. The distinct sites, in fractional coordinates, are Sm at (0.0000, 0.0000, 0.2403), C at (0.0000, 0.0000, 0.5000) and F at (0.0000, 0.0000, 0.0000).

---

Record 4
VASP calculation (PBE) on a relaxed structure of Sm2CF2.

The energy relative to the elements, uncorrected is -2.113 eV per atom. The magnetic moment is 0.0 μB per formula unit.

The structure belongs to space group R-3m (No. 166, hexagonal axes); the cell edges are 3.5823, 3.5823 and 24.9071 Å and the angles 90.00°, 90.00° and 120.00°. The distinct sites, in fractional coordinates, are Sm at (0.0000, 0.0000, 0.1073), C at (0.0000, 0.0000, 0.5000) and F at (0.0000, 0.0000, 0.3866).

---

Record 5
VASP calculation (PBE) on a relaxed structure of Sm6C3F2.

The energy relative to the elements, uncorrected is -1.149 eV per atom. Its density of states at the Fermi level is 11.445 states/eV/cell. The magnetic moment is 0.0 μB per formula unit.

The structure belongs to space group C2/m (No. 12); the cell edges are 6.3798, 11.0283 and 6.5002 Å and the angles 90.00°, 109.26° and 90.00°. The distinct sites, in fractional coordinates, are Sm at (0.2412, 0.1674, 0.2242), Sm at (0.2438, 0.5000, 0.2232), C at (0.0000, 0.0000, 0.0000), C at (0.0000, 0.3328, 0.0000) and F at (0.0000, 0.1676, 0.5000).

---

Record 6
VASP calculation (PBE) on a relaxed structure of TbSmCF.

The energy relative to the elements, uncorrected is -1.244 eV per atom. Its density of states at the Fermi level is 3.425 states/eV/cell. The magnetic moment is 0.5 μB per formula unit.

The structure belongs to space group Amm2 (No. 38); the cell edges are 5.1162, 4.2167 and 7.3199 Å and the angles 90.00°, 90.00° and 90.00°. The distinct sites, in fractional coordinates, are Tb at (0.0000, 0.0000, 0.0000), Sm at (0.5000, 0.0000, 0.3326), C at (0.0000, 0.0000, 0.3331) and F at (0.5000, 0.0000, 0.9997).

---

Record 7
VASP calculation (PBE) on a relaxed structure of SnC2F.

The energy relative to the elements, uncorrected is 1.885 eV per atom. Its density of states at the Fermi level is 8.313 states/eV/cell. The energy above the most stable polymorph in this dataset comes out at 91 meV per atom. The magnetic moment is 0.0 μB per formula unit.

The structure belongs to space group I-42d (No. 122); the cell edges are 4.4419, 4.4419 and 11.7961 Å and the angles 90.00°, 90.00° and 90.00°. The distinct sites, in fractional coordinates, are Sn at (0.0000, 0.0000, 0.0000), C at (0.2188, 0.2500, 0.6250) and F at (0.0000, 0.0000, 0.5000).

---

Record 8
VASP calculation (PBE) on a relaxed structure of SnCF3.

The energy relative to the elements, uncorrected is -0.290 eV per atom. Its density of states at the Fermi level is 8.523 states/eV/cell. The energy above the most stable polymorph in this dataset comes out at 0 meV per atom. The magnetic moment is 1.9 μB per formula unit.

The structure belongs to space group Pm-3m (No. 221); the cell edges are 4.3395, 4.3395 and 4.3395 Å and the angles 90.00°, 90.00° and 90.00°. The distinct sites, in fractional coordinates, are Sn at (0.0000, 0.0000, 0.0000), C at (0.5000, 0.5000, 0.5000) and F at (0.0000, 0.0000, 0.5000).